This record from the Alexandria database describes CaNiO after structural relaxation. The functional is PBE with a Hubbard U.

a b c (Å): 4.025 4.025 7.402
angles (deg): 90.00 90.00 120.00
Element x y z (fractional)
Ni  0.000  0.000  0.500
O  0.000  0.000  0.750
Ca  0.333  0.667  0.250
Ca  0.667  0.333  0.750
Ni  0.000  0.000  0.000
O  0.000  0.000  0.250

Calculated values
Magnetization   0.00 μB/f.u.
E   -4.298 eV per atom
N(E_F)   0.00 states/eV per atom